1.
# LiCeP

A geometry-optimized LiCeP structure (PBE, Alexandria via LeMat-Bulk).

Cell: 6.516 6.516 6.516 Å, 90.00 90.00 90.00°
Space group F-43m (No. 216)
Symmetry-distinct sites (fractional):
Li 0.000 0.000 0.000 x4
Ce 0.000 0.000 0.500 x4
P 0.250 0.250 0.250 x4

Values from the calculation:
Electronic total energy: -15.58 eV per formula unit
Calculated formation energy: -0.77 eV/atom

---

2.
# Tb3DyEr7

A geometry-optimized Tb3DyEr7 structure (PBE, Alexandria via LeMat-Bulk).

Cell: 6.873 5.464 9.866 Å, 90.00 110.31 90.00°
Space group P2/m (No. 10)
Symmetry-distinct sites (fractional):
Tb 0.000 0.000 0.000 x1
Tb 0.280 0.500 0.499 x2
Dy 0.500 0.000 0.000 x1
Er 0.000 0.000 0.500 x1
Er 0.146 0.500 0.790 x2
Er 0.320 0.500 0.140 x2
Er 0.416 0.000 0.330 x2

Values from the calculation:
Electronic total energy: -48.72 eV per formula unit
Offset from the most stable computed form: 0 meV per atom
Calculated formation energy: 0.16 eV/atom

---

3.
# Ta3Zn5

A geometry-optimized Ta3Zn5 structure (PBE, Alexandria via LeMat-Bulk).

Cell: 8.057 8.108 3.876 Å, 90.00 90.00 90.00°
Space group Cmmm (No. 65)
Symmetry-distinct sites (fractional):
Ta 0.000 0.000 0.000 x2
Ta 0.000 0.252 0.500 x4
Zn 0.000 0.500 0.000 x2
Zn 0.249 0.500 0.500 x4
Zn 0.250 0.250 0.000 x4

Values from the calculation:
Electronic total energy: -41.68 eV per formula unit
Offset from the most stable computed form: 0 meV per atom
Calculated formation energy: 0.03 eV/atom

---

4.
# AcSm6Ho6

A geometry-optimized AcSm6Ho6 structure (PBE, Alexandria via LeMat-Bulk).

Cell: 6.7345 6.7345 11.4800 Å, 90.00 90.00 120.00°
Space group P6/mmm (No. 191)
Symmetry-distinct sites (fractional):
Ac 0.0000 0.0000 0.0000 x1
Sm 0.0000 0.0000 0.3525 x2
Sm 0.3333 0.6667 0.0000 x2
Sm 0.3333 0.6667 0.5000 x2
Ho 0.0000 0.5000 0.2487 x6

Values from the calculation:
Electronic total energy: -56.70 eV per formula unit
Calculated formation energy: 0.25 eV/atom

---

5.
# CdO2

A geometry-optimized CdO2 structure (PBE, Alexandria via LeMat-Bulk).

Cell: 3.4950 3.4950 3.9605 Å, 90.00 90.00 120.00°
Space group P-3m1 (No. 164)
Symmetry-distinct sites (fractional):
Cd 0.0000 0.0000 0.0000 x1
O 0.3333 0.6667 0.2510 x2

Values from the calculation:
Formation energy without anion corrections: -0.015 eV/atom
Electronic total energy: -10.88 eV per formula unit

---

6.
# LaSm2Y

A geometry-optimized LaSm2Y structure (PBE, Alexandria via LeMat-Bulk).

Cell: 5.138 5.138 5.185 Å, 90.00 90.00 90.00°
Space group P4/mmm (No. 123)
Symmetry-distinct sites (fractional):
La 0.000 0.000 0.000 x1
Sm 0.000 0.500 0.500 x2
Y 0.500 0.500 0.000 x1

Values from the calculation:
Electronic total energy: -20.74 eV per formula unit
Offset from the most stable computed form: 14 meV per atom
Calculated formation energy: 0.02 eV/atom